[1]
DFT (PBE-GGA) results for crystalline Sr2Ga2F at its relaxed geometry.

Cell: 6.1859 6.1859 7.7772 Å, 90.00 90.00 90.00°
Closest atoms and distances in Å follow each position.
Space group I4/mmm (No. 139)
Inequivalent atoms, fractional coordinates:
Sr 0.0000 0.5000 0.2500 (multiplicity 4)  4 Ga 3.18
Ga 0.0000 0.0000 0.1539 (multiplicity 4)  1 Ga 2.39
F 0.0000 0.0000 0.5000 (multiplicity 2)  2 Ga 2.69

Summary:
Energy relative to the elements, uncorrected: -651 meV/atom
ρ: 3.72 Mg/m³
Polymorph energy (0 for the lowest one): 464 meV per atom
DFT total energy: -2.909 eV/atom

***

[2]
DFT (PBE-GGA) results for crystalline Tl2ReW at its relaxed geometry.

Cell: 3.1322 3.1322 8.8997 Å, 90.00 90.00 90.00°
Closest atoms and distances in Å follow each position.
Space group P4mm (No. 99)
Inequivalent atoms, fractional coordinates:
Tl 0.0000 0.0000 0.0000 (multiplicity 1)  4 Tl 3.13, 4 Re 3.19
Tl 0.5000 0.5000 0.3342 (multiplicity 1)  4 Tl 3.13, 4 W 3.20
Re 0.5000 0.5000 0.7427 (multiplicity 1)  4 W 2.58
W 0.0000 0.0000 0.5930 (multiplicity 1)  4 Re 2.58

Summary:
E_form: 0.5556 eV/atom
ρ: 14.81 Mg/m³
Polymorph energy (0 for the lowest one): 15 meV per atom
DFT total energy: -6.978 eV/atom

***

[3]
DFT (PBE-GGA) results for crystalline RbSrSeCl at its relaxed geometry.

Cell: 4.5183 4.5183 23.9781 Å, 90.00 90.00 120.00°
Closest atoms and distances in Å follow each position.
Space group R3m (No. 160, hexagonal axes)
Inequivalent atoms, fractional coordinates:
Rb 0.0000 0.0000 0.0000 (multiplicity 3)  3 Se 3.40, 3 Cl 3.58
Sr 0.0000 0.0000 0.1788 (multiplicity 3)  3 Se 3.02, 3 Cl 3.19
Se 0.0000 0.0000 0.5759 (multiplicity 3)  3 Sr 3.02
Cl 0.0000 0.0000 0.7690 (multiplicity 3)  3 Sr 3.19

Summary:
Energy relative to the elements, uncorrected: -1886 meV/atom
ρ: 3.38 Mg/m³
DFT total energy: -3.881 eV/atom

***

[4]
DFT (PBE-GGA) results for crystalline LaZnSb3 at its relaxed geometry.

Cell: 6.0944 6.0944 6.0944 Å, 90.00 90.00 90.00°
Closest atoms and distances in Å follow each position.
Space group Pm-3m (No. 221)
Inequivalent atoms, fractional coordinates:
La 0.0000 0.0000 0.0000 (multiplicity 1)  6 Sb 3.05
Zn 0.5000 0.5000 0.5000 (multiplicity 1)  12 Sb 4.31
Sb 0.0000 0.0000 0.5000 (multiplicity 3)  2 La 3.05

Summary:
Energy relative to the elements, uncorrected: 611 meV/atom
ρ: 4.18 Mg/m³
DFT total energy: -3.102 eV/atom

***

[5]
DFT (PBE-GGA) results for crystalline NiSn2W at its relaxed geometry.

Cell: 7.1768 7.1768 5.9149 Å, 90.00 90.00 90.00°
Closest atoms and distances in Å follow each position.
Space group I-42d (No. 122)
Inequivalent atoms, fractional coordinates:
Ni 0.0000 0.0000 0.0000 (multiplicity 4)  4 Sn 2.48
Sn 0.2142 0.2500 0.1250 (multiplicity 8)  2 Ni 2.48
W 0.0000 0.0000 0.5000 (multiplicity 4)  4 Sn 2.82, 2 Ni 2.96

Summary:
E_form: 0.7428 eV/atom
ρ: 10.46 Mg/m³
Polymorph energy (0 for the lowest one): 225 meV per atom
DFT total energy: -5.942 eV/atom

***

[6]
DFT (PBE-GGA) results for crystalline SeBr at its relaxed geometry.

Cell: 3.9093 16.5244 3.8234 Å, 90.00 90.00 90.00°
Closest atoms and distances in Å follow each position.
Space group Cmcm (No. 63)
Inequivalent atoms, fractional coordinates:
Se 0.0000 0.1026 0.2500 (multiplicity 4)  4 Br 2.76
Br 0.0000 0.3756 0.2500 (multiplicity 4)  4 Se 2.76

Summary:
Energy relative to the elements, uncorrected: 366 meV/atom
ρ: 4.27 Mg/m³
DFT total energy: -2.212 eV/atom

***

[7]
DFT (PBE-GGA) results for crystalline Li6AgRh at its relaxed geometry.

Cell: 4.3521 8.3637 6.6977 Å, 90.00 90.00 90.00°
Closest atoms and distances in Å follow each position.
Space group Amm2 (No. 38)
Inequivalent atoms, fractional coordinates:
Li 0.0000 0.0000 0.0000 (multiplicity 2)  4 Li 2.50-2.58, 2 Rh 2.68
Li 0.0000 0.2171 0.2564 (multiplicity 4)  5 Li 2.50-2.77, 2 Ag 2.61-2.79
Li 0.5000 0.0000 0.7937 (multiplicity 2)  6 Li 2.58-2.72, 2 Ag 2.78
Li 0.5000 0.2261 0.5129 (multiplicity 4)  2 Rh 2.66-2.73, 6 Li 2.67-2.77, 2 Ag 2.89
Ag 0.0000 0.0000 0.5356 (multiplicity 2)  10 Li 2.61-2.89
Rh 0.5000 0.0000 0.2344 (multiplicity 2)  11 Li 2.66-2.95, 2 Ag 2.97

Summary:
E_form: -0.0979 eV/atom
ρ: 3.44 Mg/m³
Polymorph energy (0 for the lowest one): 2 meV per atom
DFT total energy: -2.809 eV/atom

***

[8]
DFT (PBE-GGA) results for crystalline ScTa5 at its relaxed geometry.

Cell: 4.9555 2.7839 16.6130 Å, 90.00 90.00 90.00°
Closest atoms and distances in Å follow each position.
Space group Amm2 (No. 38)
Inequivalent atoms, fractional coordinates:
Sc 0.0000 0.0000 0.0000 (multiplicity 2)  2 Sc 2.78, 4 Ta 2.92-3.10
Ta 0.0000 0.0000 0.3311 (multiplicity 2)  10 Ta 2.78-3.11
Ta 0.0000 0.0000 0.6669 (multiplicity 2)  10 Ta 2.78-3.11, 2 Sc 3.10
Ta 0.5000 0.0000 0.2424 (multiplicity 2)  12 Ta 2.78-3.11
Ta 0.5000 0.0000 0.5789 (multiplicity 2)  6 Ta 2.78-3.05
Ta 0.5000 0.0000 0.9074 (multiplicity 2)  8 Ta 2.78-3.11, 2 Sc 2.92

Summary:
E_form: 0.2275 eV/atom
ρ: 13.76 Mg/m³
DFT total energy: -10.705 eV/atom

***

Computed density of states at the Fermi level, in the same sequence as the records: 7.65 2.67 0.00 4.39 2.53 3.23 7.40 15.64 states/eV per cell.